# 1
# LaSc2CrSi (GGA-PBE, optimized geometry)
# Total energy   -31.038 eV/cell
data_LaSc2CrSi
_chemical_formula_sum 'La1 Sc2 Cr1 Si1'
_cell_length_a 5.034
_cell_length_b 5.034
_cell_length_c 5.759
_cell_angle_alpha 90.00
_cell_angle_beta 90.00
_cell_angle_gamma 90.00
_space_group_name_H-M_alt 'P 1'
_space_group_IT_number 1
_space_group_name_Hall 'P 1'
loop_
_atom_site_label
_atom_site_type_symbol
_atom_site_fract_x
_atom_site_fract_y
_atom_site_fract_z
La1 La 0.000 0.000 0.000
Sc1 Sc 0.000 0.500 0.500
Sc2 Sc 0.500 0.000 0.500
Cr1 Cr 0.500 0.500 0.000
Si1 Si 0.000 0.000 0.500

=====

# 2
# Ti2SbTe (GGA-PBE, optimized geometry)
# Total energy   -24.358 eV/cell
data_Ti2SbTe
_chemical_formula_sum 'Ti2 Sb1 Te1'
_cell_length_a 4.839
_cell_length_b 4.839
_cell_length_c 4.839
_cell_angle_alpha 60.00
_cell_angle_beta 60.00
_cell_angle_gamma 60.00
_space_group_name_H-M_alt 'P 1'
_space_group_IT_number 1
_space_group_name_Hall 'P 1'
loop_
_atom_site_label
_atom_site_type_symbol
_atom_site_fract_x
_atom_site_fract_y
_atom_site_fract_z
Ti1 Ti 0.250 0.250 0.250
Ti2 Ti 0.750 0.750 0.750
Sb1 Sb 0.000 0.000 0.000
Te1 Te 0.500 0.500 0.500

=====

# 3
# BaEuCdCu (GGA-PBE, optimized geometry)
# Formation energy from the elements   -0.0943 eV per atom
data_BaEuCdCu
_chemical_formula_sum 'Ba1 Eu1 Cd1 Cu1'
_cell_length_a 5.631
_cell_length_b 5.631
_cell_length_c 5.631
_cell_angle_alpha 60.00
_cell_angle_beta 60.00
_cell_angle_gamma 60.00
_space_group_name_H-M_alt 'P 1'
_space_group_IT_number 1
_space_group_name_Hall 'P 1'
loop_
_atom_site_label
_atom_site_type_symbol
_atom_site_fract_x
_atom_site_fract_y
_atom_site_fract_z
Ba1 Ba 0.000 0.000 0.000
Eu1 Eu 0.500 0.500 0.500
Cd1 Cd 0.250 0.250 0.250
Cu1 Cu 0.750 0.750 0.750

=====

# 4
# NiSe2IN (GGA-PBE, optimized geometry)
# Total energy   -19.106 eV/cell
data_NiSe2IN
_chemical_formula_sum 'Ni1 Se2 I1 N1'
_cell_length_a 5.171
_cell_length_b 5.171
_cell_length_c 3.508
_cell_angle_alpha 90.00
_cell_angle_beta 90.00
_cell_angle_gamma 90.00
_space_group_name_H-M_alt 'P 1'
_space_group_IT_number 1
_space_group_name_Hall 'P 1'
loop_
_atom_site_label
_atom_site_type_symbol
_atom_site_fract_x
_atom_site_fract_y
_atom_site_fract_z
Ni1 Ni 0.000 0.000 0.000
Se1 Se 0.000 0.500 0.000
Se2 Se 0.500 0.000 0.000
I1 I 0.500 0.500 0.500
N1 N 0.000 0.000 0.500

=====

# 5
# TlHgBr2 (GGA-PBE, optimized geometry)
# Total energy   -7.669 eV/cell
data_TlHgBr2
_chemical_formula_sum 'Tl1 Hg1 Br2'
_cell_length_a 4.135
_cell_length_b 4.790
_cell_length_c 6.618
_cell_angle_alpha 90.00
_cell_angle_beta 90.00
_cell_angle_gamma 90.00
_space_group_name_H-M_alt 'P 1'
_space_group_IT_number 1
_space_group_name_Hall 'P 1'
loop_
_atom_site_label
_atom_site_type_symbol
_atom_site_fract_x
_atom_site_fract_y
_atom_site_fract_z
Tl1 Tl 0.000 0.000 0.000
Hg1 Hg 0.000 0.500 0.500
Br1 Br 0.500 0.000 0.500
Br2 Br 0.500 0.500 0.000

=====

# 6
# RbTmPu2O8 (GGA-PBE, optimized geometry)
# Total energy   -100.736 eV/cell
data_RbTmPu2O8
_chemical_formula_sum 'Rb1 Tm1 Pu2 O8'
_cell_length_a 6.178
_cell_length_b 6.178
_cell_length_c 7.884
_cell_angle_alpha 90.00
_cell_angle_beta 90.00
_cell_angle_gamma 120.00
_space_group_name_H-M_alt 'P 1'
_space_group_IT_number 1
_space_group_name_Hall 'P 1'
loop_
_atom_site_label
_atom_site_type_symbol
_atom_site_fract_x
_atom_site_fract_y
_atom_site_fract_z
Rb1 Rb 0.000 0.000 0.000
Tm1 Tm 0.000 0.000 0.500
Pu1 Pu 0.333 0.667 0.220
Pu2 Pu 0.667 0.333 0.780
O1 O 0.165 0.330 0.326
O2 O 0.165 0.835 0.326
O3 O 0.330 0.165 0.674
O4 O 0.333 0.667 0.980
O5 O 0.667 0.333 0.020
O6 O 0.670 0.835 0.326
O7 O 0.835 0.165 0.674
O8 O 0.835 0.670 0.674